Compound: YIr2Au
Source: the Alexandria database
Functional: PBE
Structure: relaxed

Cell lengths 4.1566, 4.1566, 19.2054 Å; angles 90.00, 90.00, 90.00 degrees
With the nearest neighbours (Å) after each atom.
Space group I-42d (No. 122)
Inequivalent atoms, fractional coordinates:
Y 0.0000 0.0000 0.0000 [4 per cell]  4 Au 2.94, 4 Ir 2.96
Ir 0.1646 0.2500 0.6250 [8 per cell]  2 Ir 2.49, 2 Au 2.70
Au 0.0000 0.0000 0.5000 [4 per cell]  4 Ir 2.70, 4 Y 2.94

Output
Excess energy over the best structure of this formula in the dataset in meV per atom: 346
Calculated volume in Å³/cell: 331.8
ΔE_f in eV/atom: -0.032